A geometry-optimized Na12I3Cl5 structure, computed with GGA-PBE.

abc: 15.531 15.531 15.531
angles: 109.47 109.47 109.47
Atoms (fractional coordinates):
I  0.750  0.375  0.125
I  0.875  0.750  0.125
I  0.375  0.750  0.625
I  0.250  0.125  0.375
I  0.875  0.125  0.250
I  0.375  0.625  0.250
I  0.625  0.375  0.750
I  0.125  0.875  0.750
I  0.750  0.875  0.625
I  0.625  0.250  0.375
I  0.125  0.250  0.875
I  0.250  0.625  0.875
Cl  0.125  0.375  0.250
Cl  0.000  0.500  0.000
Cl  0.000  0.000  0.000
Cl  0.375  0.250  0.125
Cl  0.500  0.000  0.500
Cl  0.500  0.500  0.000
Cl  0.125  0.750  0.375
Cl  0.750  0.125  0.875
Cl  0.750  0.625  0.375
Cl  0.375  0.125  0.750
Cl  0.625  0.875  0.250
Cl  0.500  0.500  0.500
Cl  0.500  0.000  0.000
Cl  0.000  0.000  0.500
Cl  0.250  0.375  0.625
Cl  0.250  0.875  0.125
Cl  0.000  0.500  0.500
Cl  0.875  0.250  0.625
Cl  0.625  0.750  0.875
Cl  0.875  0.625  0.750
Na  0.705  0.119  0.027
Na  0.322  0.527  0.408
Na  0.973  0.381  0.295
Na  0.527  0.205  0.119
Na  0.585  0.705  0.678
Na  0.973  0.592  0.178
Na  0.322  0.795  0.415
Na  0.092  0.915  0.119
Na  0.592  0.973  0.678
Na  0.705  0.585  0.178
Na  0.795  0.473  0.381
Na  0.822  0.908  0.027
Na  0.119  0.705  0.527
Na  0.381  0.408  0.085
Na  0.085  0.908  0.381
Na  0.415  0.119  0.592
Na  0.085  0.178  0.205
Na  0.473  0.678  0.092
Na  0.822  0.915  0.295
Na  0.119  0.415  0.092
Na  0.381  0.973  0.795
Na  0.592  0.619  0.415
Na  0.908  0.822  0.527
Na  0.795  0.322  0.915
Na  0.408  0.381  0.585
Na  0.092  0.178  0.473
Na  0.205  0.678  0.085
Na  0.178  0.085  0.705
Na  0.619  0.027  0.205
Na  0.881  0.585  0.908
Na  0.527  0.322  0.908
Na  0.585  0.881  0.408
Na  0.915  0.822  0.795
Na  0.915  0.092  0.619
Na  0.881  0.295  0.473
Na  0.178  0.092  0.973
Na  0.619  0.592  0.915
Na  0.408  0.027  0.322
Na  0.295  0.415  0.822
Na  0.205  0.527  0.619
Na  0.908  0.085  0.881
Na  0.678  0.205  0.585
Na  0.473  0.795  0.881
Na  0.027  0.408  0.822
Na  0.415  0.295  0.322
Na  0.027  0.619  0.705
Na  0.678  0.473  0.592
Na  0.295  0.881  0.973

Computed properties:
**Fermi-level density of states**: 21.91 states/eV per cell
**Formation energy from raw total energies**: -21.43 eV per formula unit